Entry 1:
First-principles (GGA-PBE) data for a relaxed structure of MnSbTe2Rh, as listed in Alexandria.

Output
The density of states at the Fermi level is 1.072 states/eV/atom. Its energy above the lowest structure with this stoichiometry is 0.323 eV per atom. The calculated total energy comes out at -4.351 eV per atom. The calculation puts the volume at 27.5 Å³ per atom. As for the uncorrected formation energy: 1.03 eV per atom.

Unit cell a=5.267 b=5.267 c=4.963 alpha=90.00 beta=90.00 gamma=90.00
Space group P4/mmm (No. 123)
Unique sites:
Mn (0.000, 0.000, 0.000)
Sb (0.500, 0.500, 0.000)
Te (0.000, 0.500, 0.500)
Rh (0.500, 0.500, 0.500)

***

Entry 2:
First-principles (GGA-PBE) data for a relaxed structure of MnSbTe2Rh, as listed in Alexandria.

Output
The density of states at the Fermi level is 0.756 states/eV/atom. Its energy above the lowest structure with this stoichiometry is 0.000 eV per atom. The calculated total energy comes out at -4.674 eV per atom. The calculation puts the volume at 24.9 Å³ per atom. As for the uncorrected formation energy: 0.71 eV per atom.

Unit cell a=5.036 b=5.036 c=4.901 alpha=90.00 beta=90.00 gamma=90.00
Space group P4/mmm (No. 123)
Unique sites:
Mn (0.000, 0.000, 0.000)
Sb (0.000, 0.000, 0.500)
Te (0.000, 0.500, 0.000)
Rh (0.500, 0.500, 0.500)

***

Entry 3:
First-principles (GGA-PBE) data for a relaxed structure of MnSb2RhW, as listed in Alexandria.

Output
The density of states at the Fermi level is 0.979 states/eV/atom. The calculated total energy comes out at -6.448 eV per atom. The calculation puts the volume at 20.4 Å³ per atom. As for the uncorrected formation energy: 1.10 eV per atom.

Unit cell a=4.769 b=4.769 c=4.484 alpha=90.00 beta=90.00 gamma=90.00
Space group P4/mmm (No. 123)
Unique sites:
Mn (0.000, 0.000, 0.000)
Sb (0.000, 0.500, 0.000)
Rh (0.500, 0.500, 0.500)
W (0.000, 0.000, 0.500)

***

> Among the records above, which one has the highest uncorrected formation energy?

MnSb2RhW